DFT (PBE) results for crystalline TaSb3 at its relaxed geometry.

extended XYZ file:
```
4
Lattice="-1.158 3.136 4.831 -4.278 -3.526 -1.941 5.506 -1.952 -0.616" Properties=species:S:1:pos:R:3 pbc="T T T"
Sb 0.000 0.000 0.000
Sb 2.174 0.592 2.107
Sb -2.718 -0.195 1.445
Ta 0.614 -2.739 -1.279
```

## Properties
mass density	9.62	g/cm³
total magnetization	0.000	Bohr magnetons per cell
raw formation energy	0.54	eV/atom
final energy	-5.516	eV per atom
polymorph energy (0 for the lowest one)	457	meV per atom